(1)
VASP calculation (PBEsol) on a geometry-optimized Mn2OF3 structure.

Computed properties:
- distance to the lowest polymorph of the same formula (eV per formula unit) = 0.20
- SG = No. 164
- uncorrected energy (eV per atom) = -7.1387
- density of states at the Fermi level (states/eV/cell) = 3.3
- ΔE_f (raw) (eV/atom) = -2.046

```
12
Lattice="4.7485 0.0000 0.0000 0.0000 6.0543 0.0000 0.0000 -3.0271 5.2432" Properties=species:S:1:pos:R:3 pbc="T T T"
O 1.6310 3.0271 1.7477
O 3.1174 0.0000 3.4954
F 3.5360 1.4688 0.8480
F 3.5360 3.0271 3.5472
F 1.2125 1.5584 4.3952
F 1.2125 0.0000 1.6960
F 3.5360 4.5855 0.8480
F 1.2125 -1.5584 4.3952
Mn 0.0000 0.0000 0.0000
Mn 2.3742 -1.5136 2.6216
Mn 2.3742 1.5136 2.6216
Mn 2.3742 3.0271 0.0000
```



(2)
VASP calculation (PBEsol) on a geometry-optimized Mn6O7F5 structure.

Computed properties:
- distance to the lowest polymorph of the same formula (eV per formula unit) = 0.75
- SG = No. 7
- uncorrected energy (eV per atom) = -7.6736
- density of states at the Fermi level (states/eV/cell) = 8.1
- ΔE_f (raw) (eV/atom) = -1.843

```
36
Lattice="-1.3974 -1.1610 -4.1025 -4.5243 -2.2114 2.1669 -7.0387 13.2412 -1.1827" Properties=species:S:1:pos:R:3 pbc="T T T"
O -8.7768 6.2025 0.3044
O -1.7578 1.2925 -0.7805
O -4.0271 -1.7900 -1.6193
O -8.9507 11.7349 -1.5173
O -6.4869 10.1130 -1.6724
O -4.3748 2.9650 -0.6838
O -8.8797 9.1039 -0.8031
O -6.5667 4.5594 -0.3822
O -11.1333 10.6401 -0.1831
O -4.1770 5.6994 -1.2380
O -8.6871 7.0106 -2.4194
O -4.1053 0.9093 -2.3370
O -6.4802 1.7754 0.6013
O -6.4500 5.3666 -2.7358
F -6.4688 8.0468 -3.5967
F -6.4522 2.6088 -2.2458
F -6.3664 -0.2440 -1.3687
F -11.0968 8.5603 -2.2723
F -8.9093 9.7486 -3.3459
F -8.7022 3.9750 -1.8752
F -4.0949 0.2432 0.2362
F -6.5686 7.3749 -0.8559
F -1.7238 -0.9549 -2.9407
F -4.1686 3.6060 -3.3137
Mn -6.1202 6.1716 -4.4224
Mn -7.7839 5.7357 -1.3128
Mn -6.8546 3.4888 1.1231
Mn -7.1516 11.6844 -1.0115
Mn -10.1016 10.2517 -1.6908
Mn -7.6454 8.6108 -2.1148
Mn -2.5266 2.8443 -0.0129
Mn -9.0308 8.0059 0.8254
Mn -2.8616 -0.1991 -1.3935
Mn -5.3492 1.3924 -0.9376
Mn -5.2757 4.2698 -1.7253
Mn -5.7829 -2.0044 -2.3070
```



Question: Among the records above, which one has the lowest uncorrected energy?
Answer: Mn6O7F5